# 1
Crystalline CaEuTlGe at its relaxed geometry. Source: Alexandria via LeMat-Bulk, functional PBE-GGA.

Unit cell a=5.402 b=5.402 c=5.402 alpha=60.00 beta=60.00 gamma=60.00
Last column: magnetic moment on the atom in μB.
Fractional coordinates of all 4 atoms:
Tl 0.750 0.750 0.750  0.03
Ca 0.500 0.500 0.500  0.01
Ge 0.250 0.250 0.250  -0.02
Eu 0.000 0.000 0.000  6.82

Formation energy   -460 meV/atom
Symmetry   F-43m, No. 216

---

# 2
Crystalline Tc2PdRh9 at its relaxed geometry. Source: Alexandria via LeMat-Bulk, functional PBE-GGA.

Unit cell a=3.847 b=3.847 c=11.587 alpha=90.00 beta=90.00 gamma=90.00
Fractional coordinates of all 12 atoms:
Rh 0.500 0.000 0.173
Rh 0.000 0.500 0.173
Tc 0.000 0.000 0.672
Rh 0.500 0.500 0.664
Rh 0.000 0.500 0.500
Rh 0.500 0.500 0.336
Rh 0.500 0.000 0.500
Pd 0.000 0.000 0.000
Tc 0.000 0.000 0.328
Rh 0.000 0.500 0.827
Rh 0.500 0.500 0.000
Rh 0.500 0.000 0.827

Formation energy   -49 meV/atom
Symmetry   P4/mmm, No. 123

---

# 3
Crystalline MgTlSn at its relaxed geometry. Source: Alexandria via LeMat-Bulk, functional PBE-GGA.

Unit cell a=3.420 b=3.420 c=7.899 alpha=90.00 beta=90.00 gamma=120.00
Fractional coordinates of all 3 atoms:
Tl 0.000 0.000 0.008
Sn 0.333 0.667 0.653
Mg 0.667 0.333 0.339

Offset from the most stable computed form   60 meV/atom
Formation energy   4 meV/atom
Symmetry   P3m1, No. 156

---

# 4
Crystalline TaWBr2 at its relaxed geometry. Source: Alexandria via LeMat-Bulk, functional PBE-GGA.

Unit cell a=3.080 b=3.080 c=9.098 alpha=90.00 beta=90.00 gamma=90.00
Fractional coordinates of all 4 atoms:
W 0.500 0.500 0.735
Br 0.000 0.000 0.923
Br 0.500 0.500 0.323
Ta 0.000 0.000 0.519

Formation energy (no corrections)   0.225 eV/atom
Offset from the most stable computed form   280 meV/atom
Symmetry   P4mm, No. 99

---

# 5
Crystalline K2PrThTe4 at its relaxed geometry. Source: Alexandria via LeMat-Bulk, functional PBE-GGA.

Unit cell a=4.555 b=7.899 c=8.765 alpha=107.35 beta=90.00 gamma=90.00
Fractional coordinates of all 8 atoms:
Th 0.000 0.000 0.000
K 0.000 0.500 0.500
Te 0.500 0.235 0.218
Te 0.000 0.255 0.781
Te 0.000 0.745 0.219
Te 0.500 0.765 0.782
K 0.500 0.000 0.500
Pr 0.500 0.500 0.000

Formation energy (no corrections)   -1.297 eV/atom
Symmetry   P2/m, No. 10

---

# 6
Crystalline Na3LiZr3S8 at its relaxed geometry. Source: Alexandria via LeMat-Bulk, functional PBE-GGA.

Unit cell a=7.503 b=7.503 c=7.971 alpha=118.08 beta=90.00 gamma=120.00
Fractional coordinates of all 15 atoms:
S 0.727 0.969 0.712
Zr 0.500 0.500 0.500
Na 0.000 0.500 0.000
Na 0.500 0.500 0.000
S 0.741 0.483 0.724
S 0.757 0.515 0.288
S 0.757 0.031 0.288
Zr 0.000 0.500 0.500
S 0.259 0.517 0.276
S 0.243 0.969 0.712
Na 0.000 0.000 0.000
Li 0.000 0.000 0.500
Zr 0.500 0.000 0.500
S 0.273 0.031 0.288
S 0.243 0.485 0.712

Formation energy (no corrections)   -1.424 eV/atom
Symmetry   R-3m, No. 166

---

# 7
Crystalline Y3ScS at its relaxed geometry. Source: Alexandria via LeMat-Bulk, functional PBE-GGA.

Unit cell a=5.455 b=5.455 c=5.455 alpha=90.00 beta=90.00 gamma=90.00
Fractional coordinates of all 5 atoms:
Y 0.000 0.000 0.500
Sc 0.000 0.000 0.000
S 0.500 0.500 0.500
Y 0.500 0.000 0.000
Y 0.000 0.500 0.000

Formation energy (no corrections)   0.681 eV/atom
Offset from the most stable computed form   1304 meV/atom
Symmetry   Pm-3m, No. 221

---

# 8
Crystalline Th6Rh3SeS2 at its relaxed geometry. Source: Alexandria via LeMat-Bulk, functional PBE-GGA.

Unit cell a=4.074 b=8.585 c=9.483 alpha=107.23 beta=102.40 gamma=90.00
Fractional coordinates of all 12 atoms:
Th 0.664 0.589 0.328
Th 0.996 0.266 0.992
S 0.166 0.331 0.332
S 0.834 0.669 0.668
Th 0.674 0.075 0.348
Rh 0.834 0.170 0.668
Th 0.004 0.734 0.008
Se 0.500 0.000 0.000
Rh 0.166 0.830 0.332
Th 0.336 0.411 0.672
Rh 0.500 0.500 0.000
Th 0.326 0.925 0.652

Formation energy (no corrections)   -1.251 eV/atom
Symmetry   C2/m, No. 12

---

| no. | magnetization (μB/atom) | electronic total energy (eV per atom) |
| --- | --- | --- |
| 1 | 1.77 | -5.275 |
| 2 | 0.00 | -7.723 |
| 3 | 0.00 | -2.651 |
| 4 | 0.00 | -6.813 |
| 5 | 0.00 | -4.667 |
| 6 | 0.00 | -5.726 |
| 7 | 0.00 | -5.289 |
| 8 | 0.00 | -7.777 |